# 1
# PIrF3 | the Alexandria database | GGA-PBE | relaxed
data_PIrF3
_chemical_formula_sum 'P1 Ir1 F3'
_cell_length_a 4.2350
_cell_length_b 4.2350
_cell_length_c 4.2350
_cell_angle_alpha 90.00
_cell_angle_beta 90.00
_cell_angle_gamma 90.00
_symmetry_space_group_name_H-M 'P 1'
_symmetry_Int_Tables_number 1
loop_
_symmetry_equiv_pos_as_xyz
'x,y,z'
loop_
_atom_site_label
_atom_site_type_symbol
_atom_site_fract_x
_atom_site_fract_y
_atom_site_fract_z
_atom_site_occupancy
P1 P 0.0000 0.0000 0.0000 1
Ir1 Ir 0.5000 0.5000 0.5000 1
F1 F 0.0000 0.5000 0.5000 1
F2 F 0.5000 0.0000 0.5000 1
F3 F 0.5000 0.5000 0.0000 1
# SG   Pm-3m
# E_form (uncorrected)   -0.032 eV per atom


# 2
# LiMgBiO3 | the Alexandria database | GGA-PBE | relaxed
data_LiMgBiO3
_chemical_formula_sum 'Li2 Mg2 Bi2 O6'
_cell_length_a 6.6206
_cell_length_b 3.2812
_cell_length_c 6.8252
_cell_angle_alpha 90.00
_cell_angle_beta 104.48
_cell_angle_gamma 90.00
_symmetry_space_group_name_H-M 'P 1'
_symmetry_Int_Tables_number 1
loop_
_symmetry_equiv_pos_as_xyz
'x,y,z'
loop_
_atom_site_label
_atom_site_type_symbol
_atom_site_fract_x
_atom_site_fract_y
_atom_site_fract_z
_atom_site_occupancy
Li1 Li 0.0946 0.2500 0.0950 1
Li2 Li 0.9054 0.7500 0.9050 1
Mg1 Mg 0.3366 0.7500 0.3352 1
Mg2 Mg 0.6634 0.2500 0.6648 1
Bi1 Bi 0.2024 0.2500 0.7262 1
Bi2 Bi 0.7976 0.7500 0.2738 1
O1 O 0.1169 0.2500 0.3745 1
O2 O 0.2029 0.7500 0.0259 1
O3 O 0.4357 0.7500 0.6514 1
O4 O 0.5643 0.2500 0.3486 1
O5 O 0.7971 0.2500 0.9741 1
O6 O 0.8831 0.7500 0.6255 1
# SG   P2_1/m
# E_form (uncorrected)   -1.731 eV per atom


# 3
# NpBOs3 | the Alexandria database | GGA-PBE | relaxed
data_NpBOs3
_chemical_formula_sum 'Np1 B1 Os3'
_cell_length_a 4.2068
_cell_length_b 4.2068
_cell_length_c 4.2068
_cell_angle_alpha 90.00
_cell_angle_beta 90.00
_cell_angle_gamma 90.00
_symmetry_space_group_name_H-M 'P 1'
_symmetry_Int_Tables_number 1
loop_
_symmetry_equiv_pos_as_xyz
'x,y,z'
loop_
_atom_site_label
_atom_site_type_symbol
_atom_site_fract_x
_atom_site_fract_y
_atom_site_fract_z
_atom_site_occupancy
Np1 Np 0.0000 0.0000 0.0000 1
B1 B 0.5000 0.5000 0.5000 1
Os1 Os 0.0000 0.5000 0.5000 1
Os2 Os 0.5000 0.0000 0.5000 1
Os3 Os 0.5000 0.5000 0.0000 1
# Total energy   -10.66 eV per atom
# SG   Pm-3m